A plane-wave DFT calculation with GGA-PBE was carried out for crystalline Np6AsP5 at its relaxed geometry.

Unit cell a=6.9124 b=6.9124 c=6.9091 alpha=99.61 beta=99.61 gamma=120.07
Closest atoms and distances in Å follow each position.
Fractional coordinates of all 12 atoms:
Np (0.0758, 0.4153, 0.7460)  5 P 2.80-2.82, 1 As 2.87
Np (0.2445, 0.2445, 0.2522)  5 P 2.78-2.82, 1 As 2.86
Np (0.4153, 0.0758, 0.7460)  5 P 2.80-2.82, 1 As 2.87
Np (0.5847, 0.9242, 0.2540)  5 P 2.80-2.82, 1 As 2.87
Np (0.7555, 0.7555, 0.7478)  5 P 2.78-2.82, 1 As 2.86
Np (0.9242, 0.5847, 0.2540)  5 P 2.80-2.82, 1 As 2.87
As (0.5000, 0.5000, 0.0000)  6 Np 2.86-2.87
P (0.0000, 0.0000, 0.5000)  6 Np 2.78-2.82
P (0.1672, 0.8328, 0.0000)  6 Np 2.81-2.82
P (0.3365, 0.6635, 0.5000)  6 Np 2.80-2.82
P (0.6635, 0.3365, 0.5000)  6 Np 2.80-2.82
P (0.8328, 0.1672, 0.0000)  6 Np 2.81-2.82

Values from the calculation:
- energy (eV per atom) = -9.944
- N(E_F) (states/eV/cell) = 44.5
- ΔH_f (0 K) (eV per atom) = -0.83
- magnetization (μB/atom) = 1.8770

=====

A plane-wave DFT calculation with GGA-PBE was carried out for crystalline Np3As3P at its relaxed geometry.

Unit cell a=8.8727 b=8.8727 c=4.0465 alpha=90.00 beta=90.00 gamma=120.00
Closest atoms and distances in Å follow each position.
Fractional coordinates of all 14 atoms:
Np (0.0708, 0.4877, 0.2500)  2 Np 2.45
Np (0.4169, 0.9292, 0.2500)  2 Np 2.45
Np (0.4877, 0.4169, 0.7500)  2 Np 2.45
Np (0.5123, 0.5831, 0.2500)  2 Np 2.45
Np (0.5831, 0.0708, 0.7500)  2 Np 2.45
Np (0.9292, 0.5123, 0.7500)  2 Np 2.45
As (0.0467, 0.7937, 0.2500)  4 Np 2.83-2.97, 4 As 2.89
As (0.2063, 0.2530, 0.2500)  4 Np 2.83-2.97, 4 As 2.89
As (0.2530, 0.0467, 0.7500)  4 Np 2.83-2.97, 4 As 2.89
As (0.7470, 0.9533, 0.2500)  4 Np 2.83-2.97, 4 As 2.89
As (0.7937, 0.7470, 0.7500)  4 Np 2.83-2.97, 4 As 2.89
As (0.9533, 0.2063, 0.7500)  4 Np 2.83-2.97, 4 As 2.89
P (0.3333, 0.6667, 0.7500)  9 Np 2.89-3.13
P (0.6667, 0.3333, 0.2500)  9 Np 2.89-3.13

Values from the calculation:
- energy (eV per atom) = -8.562
- N(E_F) (states/eV/cell) = 18.4
- ΔH_f (0 K) (eV per atom) = -0.25
- magnetization (μB/atom) = 0.0002

=====

A plane-wave DFT calculation with GGA-PBE was carried out for crystalline Np6As5P at its relaxed geometry.

Unit cell a=7.0787 b=7.0787 c=7.0830 alpha=99.60 beta=99.60 gamma=120.04
Closest atoms and distances in Å follow each position.
Fractional coordinates of all 12 atoms:
Np (0.0817, 0.4086, 0.7457)  1 P 2.84, 5 As 2.89-2.91
Np (0.2439, 0.2439, 0.2520)  1 P 2.84, 5 As 2.90-2.94
Np (0.4086, 0.0817, 0.7457)  1 P 2.84, 5 As 2.89-2.91
Np (0.5914, 0.9183, 0.2543)  1 P 2.84, 5 As 2.89-2.91
Np (0.7561, 0.7561, 0.7480)  1 P 2.84, 5 As 2.90-2.94
Np (0.9183, 0.5914, 0.2543)  1 P 2.84, 5 As 2.89-2.91
As (0.1701, 0.8299, 0.0000)  6 Np 2.89-2.91
As (0.3340, 0.6660, 0.5000)  6 Np 2.89-2.90
As (0.5000, 0.5000, 0.0000)  6 Np 2.89-2.94
As (0.6660, 0.3340, 0.5000)  6 Np 2.89-2.90
As (0.8299, 0.1701, 0.0000)  6 Np 2.89-2.91
P (0.0000, 0.0000, 0.5000)  6 Np 2.84

Values from the calculation:
- energy (eV per atom) = -9.569
- N(E_F) (states/eV/cell) = 47.5
- ΔH_f (0 K) (eV per atom) = -0.71
- magnetization (μB/atom) = 1.9235

=====

A plane-wave DFT calculation with GGA-PBE was carried out for crystalline Np2AsPPt6 at its relaxed geometry.

Unit cell a=5.5408 b=8.0917 c=8.7345 alpha=90.00 beta=90.00 gamma=90.00
Closest atoms and distances in Å follow each position.
Fractional coordinates of all 20 atoms:
Np (0.2500, 0.0024, 0.2434)  6 Pt 2.97-3.26
Np (0.2500, 0.4976, 0.2434)  6 Pt 2.97-3.26
Np (0.7500, 0.5024, 0.7566)  6 Pt 2.97-3.26
Np (0.7500, 0.9976, 0.7566)  6 Pt 2.97-3.26
As (0.2500, 0.7500, 0.7961)  4 Pt 2.44-2.45
As (0.7500, 0.2500, 0.2039)  4 Pt 2.44-2.45
P (0.2500, 0.2500, 0.7592)  6 Pt 2.32-2.58
P (0.7500, 0.7500, 0.2408)  6 Pt 2.32-2.58
Pt (0.0026, 0.2500, 0.9740)  1 P 2.32, 1 As 2.45
Pt (0.0031, 0.7500, 0.4892)  1 P 2.58, 6 Pt 2.71-2.80
Pt (0.2500, 0.5052, 0.6328)  1 P 2.34, 1 As 2.44
Pt (0.2500, 0.9948, 0.6328)  1 P 2.34, 1 As 2.44
Pt (0.4974, 0.2500, 0.9740)  1 P 2.32, 1 As 2.45
Pt (0.4969, 0.7500, 0.4892)  1 P 2.58, 6 Pt 2.71-2.80
Pt (0.5031, 0.2500, 0.5108)  1 P 2.58, 6 Pt 2.71-2.80
Pt (0.5026, 0.7500, 0.0260)  1 P 2.32, 1 As 2.45
Pt (0.7500, 0.0052, 0.3672)  1 P 2.34, 1 As 2.44
Pt (0.7500, 0.4948, 0.3672)  1 P 2.34, 1 As 2.44
Pt (0.9969, 0.2500, 0.5108)  1 P 2.58, 6 Pt 2.71-2.80
Pt (0.9974, 0.7500, 0.0260)  1 P 2.32, 1 As 2.45

Values from the calculation:
- energy (eV per atom) = -7.739
- N(E_F) (states/eV/cell) = 46.3
- ΔH_f (0 K) (eV per atom) = -0.52
- magnetization (μB/atom) = 0.7830

=====

A plane-wave DFT calculation with GGA-PBE was carried out for crystalline Np3AsP2Rh9 at its relaxed geometry.

Unit cell a=6.4096 b=6.4096 c=8.0096 alpha=90.00 beta=90.00 gamma=120.00
Closest atoms and distances in Å follow each position.
Fractional coordinates of all 15 atoms:
Np (0.0000, 0.0000, 0.0000)  6 Rh 2.68
Np (0.3333, 0.6667, 0.7082)  9 Rh 2.98-3.22
Np (0.6667, 0.3333, 0.2918)  9 Rh 2.98-3.22
As (0.0000, 0.0000, 0.5000)  6 Rh 2.45
P (0.3333, 0.6667, 0.1888)  6 Rh 2.20-2.39
P (0.6667, 0.3333, 0.8112)  6 Rh 2.20-2.39
Rh (0.0000, 0.5000, 0.0000)  2 P 2.39
Rh (0.1439, 0.2878, 0.2683)  1 P 2.20, 1 As 2.45
Rh (0.1439, 0.8561, 0.2683)  1 P 2.20, 1 As 2.45
Rh (0.2878, 0.1439, 0.7317)  1 P 2.20, 1 As 2.45
Rh (0.5000, 0.0000, 0.0000)  2 P 2.39
Rh (0.5000, 0.5000, 0.0000)  2 P 2.39
Rh (0.7122, 0.8561, 0.2683)  1 P 2.20, 1 As 2.45
Rh (0.8561, 0.1439, 0.7317)  1 P 2.20, 1 As 2.45
Rh (0.8561, 0.7122, 0.7317)  1 P 2.20, 1 As 2.45

Values from the calculation:
- energy (eV per atom) = -8.364
- N(E_F) (states/eV/cell) = 32.9
- ΔH_f (0 K) (eV per atom) = -0.33
- magnetization (μB/atom) = 0.6634

=====

A plane-wave DFT calculation with GGA-PBE was carried out for crystalline Np2AsPRh6 at its relaxed geometry.

Unit cell a=5.5050 b=8.4372 c=7.8264 alpha=90.00 beta=90.00 gamma=90.00
Closest atoms and distances in Å follow each position.
Fractional coordinates of all 20 atoms:
Np (0.2500, 0.0112, 0.2336)  9 Rh 2.94-3.29
Np (0.2500, 0.4888, 0.2336)  9 Rh 2.94-3.29
Np (0.7500, 0.5112, 0.7664)  9 Rh 2.94-3.29
Np (0.7500, 0.9888, 0.7664)  9 Rh 2.94-3.29
As (0.2500, 0.2500, 0.7709)  6 Rh 2.42-2.52
As (0.7500, 0.7500, 0.2291)  6 Rh 2.42-2.52
P (0.2500, 0.7500, 0.7418)  6 Rh 2.29-2.35
P (0.7500, 0.2500, 0.2582)  6 Rh 2.29-2.35
Rh (0.0013, 0.2500, 0.5009)  1 P 2.35, 1 As 2.52
Rh (0.0008, 0.7500, 0.9754)  1 P 2.29, 1 As 2.42
Rh (0.2500, 0.5010, 0.6114)  1 P 2.34, 1 As 2.46
Rh (0.2500, 0.9990, 0.6114)  1 P 2.34, 1 As 2.46
Rh (0.4987, 0.2500, 0.5009)  1 P 2.35, 1 As 2.52
Rh (0.4992, 0.7500, 0.9754)  1 P 2.29, 1 As 2.42
Rh (0.5008, 0.2500, 0.0246)  1 P 2.29, 1 As 2.42
Rh (0.5013, 0.7500, 0.4991)  1 P 2.35, 1 As 2.52
Rh (0.7500, 0.0010, 0.3886)  1 P 2.34, 1 As 2.46
Rh (0.7500, 0.4990, 0.3886)  1 P 2.34, 1 As 2.46
Rh (0.9992, 0.2500, 0.0246)  1 P 2.29, 1 As 2.42
Rh (0.9987, 0.7500, 0.4991)  1 P 2.35, 1 As 2.52

Values from the calculation:
- energy (eV per atom) = -8.399
- N(E_F) (states/eV/cell) = 48.4
- ΔH_f (0 K) (eV per atom) = -0.39
- magnetization (μB/atom) = 0.6387

=====

A plane-wave DFT calculation with GGA-PBE was carried out for crystalline Np2AsP3Rh4 at its relaxed geometry.

Unit cell a=4.1214 b=4.1214 c=9.8071 alpha=90.00 beta=90.00 gamma=90.00
Closest atoms and distances in Å follow each position.
Fractional coordinates of all 10 atoms:
Np (0.0000, 0.5000, 0.2492)  6 P 3.12-3.20, 8 Rh 3.15-3.21, 2 As 3.20
Np (0.5000, 0.0000, 0.7508)  6 P 3.12-3.20, 8 Rh 3.15-3.21, 2 As 3.20
As (0.5000, 0.5000, 0.0000)  4 Rh 2.41
P (0.0000, 0.0000, 0.0000)  4 Rh 2.41
P (0.0000, 0.5000, 0.6373)  5 Rh 2.31-2.46
P (0.5000, 0.0000, 0.3627)  5 Rh 2.31-2.46
Rh (0.0000, 0.0000, 0.5000)  4 P 2.46
Rh (0.0000, 0.5000, 0.8731)  3 P 2.31-2.41, 2 As 2.41
Rh (0.5000, 0.0000, 0.1269)  3 P 2.31-2.41, 2 As 2.41
Rh (0.5000, 0.5000, 0.5000)  4 P 2.46

Values from the calculation:
- energy (eV per atom) = -8.315
- N(E_F) (states/eV/cell) = 21.0
- ΔH_f (0 K) (eV per atom) = -0.70
- magnetization (μB/atom) = 0.7300

=====

A plane-wave DFT calculation with GGA-PBE was carried out for crystalline NpAsPRu3 at its relaxed geometry.

Unit cell a=7.9213 b=7.9213 c=5.5122 alpha=90.00 beta=90.00 gamma=138.94
Closest atoms and distances in Å follow each position.
Fractional coordinates of all 12 atoms:
Np (0.2086, 0.7914, 0.7500)  4 Ru 2.80-2.88
Np (0.7914, 0.2086, 0.2500)  4 Ru 2.80-2.88
As (0.4047, 0.5953, 0.2500)  5 Ru 2.43-2.44
As (0.5953, 0.4047, 0.7500)  5 Ru 2.43-2.44
P (0.0840, 0.9160, 0.2500)  5 Ru 2.30-2.32
P (0.9160, 0.0840, 0.7500)  5 Ru 2.30-2.32
Ru (0.2401, 0.7599, 0.2500)  1 P 2.32, 1 As 2.44
Ru (0.2455, 0.2455, 0.0000)  2 P 2.30, 2 As 2.43
Ru (0.2455, 0.2455, 0.5000)  2 P 2.30, 2 As 2.43
Ru (0.7545, 0.7545, 0.0000)  2 P 2.30, 2 As 2.43
Ru (0.7545, 0.7545, 0.5000)  2 P 2.30, 2 As 2.43
Ru (0.7599, 0.2401, 0.7500)  1 P 2.32, 1 As 2.44

Values from the calculation:
- energy (eV per atom) = -8.748
- N(E_F) (states/eV/cell) = 21.8
- ΔH_f (0 K) (eV per atom) = -0.28
- magnetization (μB/atom) = 0.5569

=====

Repeat the seventh record exactly.
A plane-wave DFT calculation with GGA-PBE was carried out for crystalline Np2AsP3Rh4 at its relaxed geometry.

Unit cell a=4.1214 b=4.1214 c=9.8071 alpha=90.00 beta=90.00 gamma=90.00
Closest atoms and distances in Å follow each position.
Fractional coordinates of all 10 atoms:
Np (0.0000, 0.5000, 0.2492)  6 P 3.12-3.20, 8 Rh 3.15-3.21, 2 As 3.20
Np (0.5000, 0.0000, 0.7508)  6 P 3.12-3.20, 8 Rh 3.15-3.21, 2 As 3.20
As (0.5000, 0.5000, 0.0000)  4 Rh 2.41
P (0.0000, 0.0000, 0.0000)  4 Rh 2.41
P (0.0000, 0.5000, 0.6373)  5 Rh 2.31-2.46
P (0.5000, 0.0000, 0.3627)  5 Rh 2.31-2.46
Rh (0.0000, 0.0000, 0.5000)  4 P 2.46
Rh (0.0000, 0.5000, 0.8731)  3 P 2.31-2.41, 2 As 2.41
Rh (0.5000, 0.0000, 0.1269)  3 P 2.31-2.41, 2 As 2.41
Rh (0.5000, 0.5000, 0.5000)  4 P 2.46

Values from the calculation:
- energy (eV per atom) = -8.315
- N(E_F) (states/eV/cell) = 21.0
- ΔH_f (0 K) (eV per atom) = -0.70
- magnetization (μB/atom) = 0.7300

=====

Question: Among the records above, which one has the lowest magnetization?
Answer: Np3As3P